# 1
GGA-PBE ZrReHg2, optimized geometry; space-group type = Cmm2, No. 35; distance to the lowest polymorph of the same formula = 10 meV per atom; DFT total energy = -5.12 eV/atom
1.0
-1.4085 2.1211 -1.6527
-1.9515 -1.4020 1.8548
1.7844 6.4418 6.7464
Hg Zr Re
2 1 1
direct
0.0000 0.0000 0.9933
0.5000 0.5000 0.2656
0.5000 0.5000 0.7266
0.0000 0.0000 0.5144

# 2
GGA-PBE ZrReHg2, optimized geometry; space-group type = F-43m, No. 216; distance to the lowest polymorph of the same formula = 256 meV per atom; DFT total energy = -4.88 eV/atom
1.0
4.8169 0.0000 0.0000
2.4084 4.1715 0.0000
2.4084 1.3905 3.9330
Zr Hg Re
1 2 1
direct
0.7500 0.7500 0.7500
0.2500 0.2500 0.2500
0.0000 0.0000 0.0000
0.5000 0.5000 0.5000

# 3
GGA-PBE ZrReHg2, optimized geometry; space-group type = Pm, No. 6; distance to the lowest polymorph of the same formula = 94 meV per atom; DFT total energy = -5.04 eV/atom
1.0
-2.6698 0.6315 3.2865
2.1834 -0.7608 1.9199
3.7863 5.1792 2.0807
Zr Hg Re
1 2 1
direct
0.5000 0.6942 0.7318
0.0000 0.9880 0.0006
0.5000 0.2684 0.2613
0.0000 0.5495 0.5063

Number 1: N(E_F) 0.67 states/eV/atom, formation energy from the elements 276 meV per atom. Number 2: N(E_F) 0.58 states/eV/atom, formation energy from the elements 523 meV per atom. Number 3: N(E_F) 0.51 states/eV/atom, formation energy from the elements 360 meV per atom.